The following is a DFT calculation (GGA-PBE) of a relaxed Tb4ScRu5 crystal.

Computed properties:
- crystal system = tetragonal
- total magnetic moment (Bohr magnetons per cell) = 0.0
- formation energy (eV per atom) = -0.32

```
data_Tb4ScRu5
_cell_length_a 3.374
_cell_length_b 3.374
_cell_length_c 16.856
_cell_angle_alpha 90.00
_cell_angle_beta 90.00
_cell_angle_gamma 90.00
_symmetry_space_group_name_H-M 'P 4/m m m'
_symmetry_Int_Tables_number 123
_symmetry_space_group_name_Hall '-P 4 2'
loop_
_atom_site_label
_atom_site_type_symbol
_atom_site_fract_x
_atom_site_fract_y
_atom_site_fract_z
Tb1 Tb 0.000 0.000 0.102
Tb2 Tb 0.000 0.000 0.306
Sc1 Sc 0.000 0.000 0.500
Ru1 Ru 0.500 0.500 0.000
Ru2 Ru 0.500 0.500 0.204
Ru3 Ru 0.500 0.500 0.409
```

The following is a DFT calculation (GGA-PBE) of a relaxed Ag2Pt crystal.

Computed properties:
- crystal system = orthorhombic
- total magnetic moment (Bohr magnetons per cell) = 0.0
- formation energy (eV per atom) = 0.04

```
data_Ag2Pt
_cell_length_a 8.645
_cell_length_b 5.030
_cell_length_c 4.711
_cell_angle_alpha 90.00
_cell_angle_beta 90.00
_cell_angle_gamma 90.00
_symmetry_space_group_name_H-M 'C m c m'
_symmetry_Int_Tables_number 63
_symmetry_space_group_name_Hall '-C 2c 2'
loop_
_atom_site_label
_atom_site_type_symbol
_atom_site_fract_x
_atom_site_fract_y
_atom_site_fract_z
Ag1 Ag 0.164 0.158 0.250
Pt1 Pt 0.000 0.354 0.750
```

The following is a DFT calculation (GGA-PBE) of a relaxed Y3BiS6 crystal.

Computed properties:
- crystal system = trigonal
- E_form (uncorrected) (eV/atom) = -1.61
- total magnetic moment (Bohr magnetons per cell) = 0.0

```
data_Y3BiS6
_cell_length_a 11.5586
_cell_length_b 11.5586
_cell_length_c 13.8634
_cell_angle_alpha 90.00
_cell_angle_beta 90.00
_cell_angle_gamma 120.00
_symmetry_space_group_name_H-M 'R -3'
_symmetry_Int_Tables_number 148
_symmetry_space_group_name_Hall '-R 3'
loop_
_atom_site_label
_atom_site_type_symbol
_atom_site_fract_x
_atom_site_fract_y
_atom_site_fract_z
Y1 Y 0.0481 0.2689 0.2056
Bi1 Bi 0.0000 0.0000 0.0000
Bi2 Bi 0.0000 0.0000 0.5000
S1 S 0.0195 0.2194 0.3993
S2 S 0.0307 0.1923 0.8679
```

The following is a DFT calculation (GGA-PBE) of a relaxed ZrUTcPd crystal.

Computed properties:
- crystal system = cubic
- total magnetic moment (Bohr magnetons per cell) = 9.4
- formation energy (eV per atom) = -0.22

```
data_ZrUTcPd
_cell_length_a 6.748
_cell_length_b 6.748
_cell_length_c 6.748
_cell_angle_alpha 90.00
_cell_angle_beta 90.00
_cell_angle_gamma 90.00
_symmetry_space_group_name_H-M 'F -4 3 m'
_symmetry_Int_Tables_number 216
_symmetry_space_group_name_Hall 'F -4 2 3'
loop_
_atom_site_label
_atom_site_type_symbol
_atom_site_fract_x
_atom_site_fract_y
_atom_site_fract_z
Zr1 Zr 0.000 0.000 0.000
U1 U 0.000 0.000 0.500
Tc1 Tc 0.250 0.250 0.750
Pd1 Pd 0.250 0.250 0.250
```

The following is a DFT calculation (GGA-PBE) of a relaxed InGe2Rh crystal.

Computed properties:
- crystal system = trigonal
- total magnetic moment (Bohr magnetons per cell) = 0.0
- formation energy (eV per atom) = -0.11

```
data_InGe2Rh
_cell_length_a 3.1902
_cell_length_b 3.1902
_cell_length_c 27.0177
_cell_angle_alpha 90.00
_cell_angle_beta 90.00
_cell_angle_gamma 120.00
_symmetry_space_group_name_H-M 'R -3 m'
_symmetry_Int_Tables_number 166
_symmetry_space_group_name_Hall '-R 3 2"'
loop_
_atom_site_label
_atom_site_type_symbol
_atom_site_fract_x
_atom_site_fract_y
_atom_site_fract_z
In1 In 0.0000 0.0000 0.0000
Ge1 Ge 0.0000 0.0000 0.1020
Rh1 Rh 0.0000 0.0000 0.5000
```

The following is a DFT calculation (GGA-PBE) of a relaxed CuHgRu2Rh crystal.

Computed properties:
- crystal system = tetragonal
- total magnetic moment (Bohr magnetons per cell) = 0.0
- formation energy (eV per atom) = 1.41

```
data_CuHgRu2Rh
_cell_length_a 4.661
_cell_length_b 4.661
_cell_length_c 4.672
_cell_angle_alpha 90.00
_cell_angle_beta 90.00
_cell_angle_gamma 90.00
_symmetry_space_group_name_H-M 'P 4/m m m'
_symmetry_Int_Tables_number 123
_symmetry_space_group_name_Hall '-P 4 2'
loop_
_atom_site_label
_atom_site_type_symbol
_atom_site_fract_x
_atom_site_fract_y
_atom_site_fract_z
Cu1 Cu 0.000 0.000 0.000
Hg1 Hg 0.500 0.500 0.000
Ru1 Ru 0.000 0.500 0.500
Rh1 Rh 0.000 0.000 0.500
```

The following is a DFT calculation (GGA-PBE) of a relaxed BaY2Ti crystal.

Computed properties:
- crystal system = cubic
- total magnetic moment (Bohr magnetons per cell) = 9.5
- formation energy (eV per atom) = 0.50

```
data_BaY2Ti
_cell_length_a 8.001
_cell_length_b 8.001
_cell_length_c 8.001
_cell_angle_alpha 90.00
_cell_angle_beta 90.00
_cell_angle_gamma 90.00
_symmetry_space_group_name_H-M 'F m -3 m'
_symmetry_Int_Tables_number 225
_symmetry_space_group_name_Hall '-F 4 2 3'
loop_
_atom_site_label
_atom_site_type_symbol
_atom_site_fract_x
_atom_site_fract_y
_atom_site_fract_z
Ba1 Ba 0.000 0.000 0.000
Y1 Y 0.250 0.250 0.250
Ti1 Ti 0.000 0.000 0.500
```

The following is a DFT calculation (GGA-PBE) of a relaxed LiPrSmRu crystal.

Computed properties:
- crystal system = cubic
- total magnetic moment (Bohr magnetons per cell) = 0.0
- formation energy (eV per atom) = -0.15

```
data_LiPrSmRu
_cell_length_a 7.157
_cell_length_b 7.157
_cell_length_c 7.157
_cell_angle_alpha 90.00
_cell_angle_beta 90.00
_cell_angle_gamma 90.00
_symmetry_space_group_name_H-M 'F -4 3 m'
_symmetry_Int_Tables_number 216
_symmetry_space_group_name_Hall 'F -4 2 3'
loop_
_atom_site_label
_atom_site_type_symbol
_atom_site_fract_x
_atom_site_fract_y
_atom_site_fract_z
Li1 Li 0.000 0.000 0.000
Pr1 Pr 0.250 0.250 0.250
Sm1 Sm 0.250 0.250 0.750
Ru1 Ru 0.000 0.000 0.500
```

The following is a DFT calculation (GGA-PBE) of a relaxed CuOsRh crystal.

Computed properties:
- crystal system = tetragonal
- total magnetic moment (Bohr magnetons per cell) = 0.0
- formation energy (eV per atom) = 0.18

```
data_CuOsRh
_cell_length_a 2.716
_cell_length_b 2.716
_cell_length_c 11.139
_cell_angle_alpha 90.00
_cell_angle_beta 90.00
_cell_angle_gamma 90.00
_symmetry_space_group_name_H-M 'I 4 m m'
_symmetry_Int_Tables_number 107
_symmetry_space_group_name_Hall 'I 4 -2'
loop_
_atom_site_label
_atom_site_type_symbol
_atom_site_fract_x
_atom_site_fract_y
_atom_site_fract_z
Cu1 Cu 0.000 0.000 0.000
Os1 Os 0.000 0.000 0.667
Rh1 Rh 0.000 0.000 0.329
```

The following is a DFT calculation (GGA-PBE) of a relaxed CaCePd crystal.

Computed properties:
- crystal system = monoclinic
- total magnetic moment (Bohr magnetons per cell) = 3.3
- formation energy (eV per atom) = -0.35

```
data_CaCePd
_cell_length_a 7.308
_cell_length_b 4.165
_cell_length_c 11.666
_cell_angle_alpha 90.00
_cell_angle_beta 101.80
_cell_angle_gamma 90.00
_symmetry_space_group_name_H-M 'C 1 2/m 1'
_symmetry_Int_Tables_number 12
_symmetry_space_group_name_Hall '-C 2y'
loop_
_atom_site_label
_atom_site_type_symbol
_atom_site_fract_x
_atom_site_fract_y
_atom_site_fract_z
Ca1 Ca 0.117 0.000 0.357
Ce1 Ce 0.189 0.500 0.075
Pd1 Pd 0.098 0.500 0.787
```

The following is a DFT calculation (GGA-PBE) of a relaxed LiCdNiBi crystal.

Computed properties:
- crystal system = cubic
- total magnetic moment (Bohr magnetons per cell) = 0.0
- formation energy (eV per atom) = -0.09

```
data_LiCdNiBi
_cell_length_a 6.636
_cell_length_b 6.636
_cell_length_c 6.636
_cell_angle_alpha 90.00
_cell_angle_beta 90.00
_cell_angle_gamma 90.00
_symmetry_space_group_name_H-M 'F -4 3 m'
_symmetry_Int_Tables_number 216
_symmetry_space_group_name_Hall 'F -4 2 3'
loop_
_atom_site_label
_atom_site_type_symbol
_atom_site_fract_x
_atom_site_fract_y
_atom_site_fract_z
Li1 Li 0.000 0.000 0.000
Cd1 Cd 0.250 0.250 0.750
Ni1 Ni 0.000 0.000 0.500
Bi1 Bi 0.250 0.250 0.250
```

The following is a DFT calculation (GGA-PBE) of a relaxed SrAl4Hg crystal.

Computed properties:
- crystal system = cubic
- total magnetic moment (Bohr magnetons per cell) = 0.0
- formation energy (eV per atom) = -0.02

```
data_SrAl4Hg
_cell_length_a 8.124
_cell_length_b 8.124
_cell_length_c 8.124
_cell_angle_alpha 90.00
_cell_angle_beta 90.00
_cell_angle_gamma 90.00
_symmetry_space_group_name_H-M 'F -4 3 m'
_symmetry_Int_Tables_number 216
_symmetry_space_group_name_Hall 'F -4 2 3'
loop_
_atom_site_label
_atom_site_type_symbol
_atom_site_fract_x
_atom_site_fract_y
_atom_site_fract_z
Sr1 Sr 0.000 0.000 0.000
Al1 Al 0.125 0.125 0.625
Hg1 Hg 0.250 0.250 0.250
```